Here is crystalline SrAcHg6 at its relaxed geometry from the Alexandria database. Energies are from PBE.

CIF file:
```
data_SrAcHg6
_cell_length_a 5.262
_cell_length_b 7.067
_cell_length_c 12.175
_cell_angle_alpha 90.00
_cell_angle_beta 90.00
_cell_angle_gamma 90.00
_space_group_name_H-M_alt 'A m m 2'
_space_group_IT_number 38
loop_
_space_group_symop_operation_xyz
'x,y,z'
'-x,-y,z'
'-x,y,z'
'x,-y,z'
'x,y+1/2,z+1/2'
'-x,-y+1/2,z+1/2'
'-x,y+1/2,z+1/2'
'x,-y+1/2,z+1/2'
loop_
_atom_site_label
_atom_site_type_symbol
_atom_site_fract_x
_atom_site_fract_y
_atom_site_fract_z
Sr1 Sr 0.000 0.000 0.000
Ac1 Ac 0.500 0.000 0.673
Hg1 Hg 0.000 0.000 0.497
Hg2 Hg 0.000 0.233 0.257
Hg3 Hg 0.500 0.000 0.178
Hg4 Hg 0.500 0.230 0.416
```

Properties
Calculated volume: 452.7 Å³/cell
Total moment: 0.0 μB per cell
Formation enthalpy at 0 K: -3.313 eV/f.u.
Theoretical density: 11.1 g/cm³
Energy: -1.364 eV/atom
Fermi-level density of states: 0.58 states/eV per atom